DFT (SCAN) results for a crystal of MgP2Se relaxed with PBEsol.

For the uncorrected formation energy, the calculation gives -1.392 eV per formula unit. The magnetization is 0.00 μB per formula unit. As for the total energy: -11.810 eV per atom. The calculation puts the offset from the most stable computed form at 0.000 eV per atom. The value obtained for the volume is 18.2 Å³/atom.

abc: 3.648 3.648 5.458
angles: 90.00 90.00 90.00
Fractional positions:
Se 0.000 0.000 0.582
P 0.500 0.500 0.120
P 0.000 0.000 0.154
Mg 0.500 0.500 0.644

***

DFT (SCAN) results for a crystal of Mg2PSe relaxed with PBEsol.

For the uncorrected formation energy, the calculation gives -2.695 eV per formula unit. The magnetization is 0.00 μB per formula unit. As for the total energy: -10.780 eV per atom. The value obtained for the volume is 20.4 Å³/atom.

abc: 3.495 3.926 6.192
angles: 90.00 106.39 90.00
Fractional positions:
Mg 0.022 0.000 0.044
Mg 0.723 0.500 0.445
P 0.502 0.500 0.003
Se 0.254 0.000 0.508

***

> What is the formula in the first record?

MgP2Se